<1>
First-principles (PBE-GGA) data for crystalline SrTcCl3 at its relaxed geometry, as listed in Alexandria via LeMat-Bulk.

Properties
mass density	2.71	g/cm³
D(E_F)	3.46	states/eV/f.u.

Cell lengths 5.634, 5.634, 5.634 Å; angles 90.00, 90.00, 90.00 degrees
Atoms (fractional coordinates):
Sr: 0.000 0.000 0.000
Tc: 0.500 0.500 0.500
Cl: 0.000 0.500 0.000
Cl: 0.000 0.000 0.500
Cl: 0.500 0.000 0.000


<2>
First-principles (PBE-GGA) data for crystalline SrTcCl3 at its relaxed geometry, as listed in Alexandria via LeMat-Bulk.

Properties
mass density	4.13	g/cm³
D(E_F)	3.82	states/eV/f.u.

Cell lengths 4.895, 4.895, 4.895 Å; angles 90.00, 90.00, 90.00 degrees
Atoms (fractional coordinates):
Sr: 0.500 0.500 0.500
Tc: 0.000 0.000 0.000
Cl: 0.000 0.500 0.000
Cl: 0.000 0.000 0.500
Cl: 0.500 0.000 0.000


Short version: <2>, <1>, most stable first.


<1>
First-principles (PBE-GGA) data for crystalline SrTc2Cl at its relaxed geometry, as listed in Alexandria via LeMat-Bulk.

Properties
mass density	7.00	g/cm³
D(E_F)	3.95	states/eV/f.u.

Cell lengths 9.556, 9.556, 9.556 Å; angles 18.37, 18.37, 18.37 degrees
Atoms (fractional coordinates):
Cl: 0.250 0.250 0.250
Sr: 0.750 0.750 0.750
Tc: 0.987 0.987 0.987
Tc: 0.513 0.513 0.513


<2>
First-principles (PBE-GGA) data for crystalline SrTc2Cl at its relaxed geometry, as listed in Alexandria via LeMat-Bulk.

Properties
mass density	7.05	g/cm³
D(E_F)	5.84	states/eV/f.u.

Cell lengths 3.058, 3.058, 8.042 Å; angles 90.00, 90.00, 90.00 degrees
Atoms (fractional coordinates):
Cl: 0.500 0.500 0.250
Sr: 0.500 0.500 0.750
Tc: 0.000 0.000 0.070
Tc: 0.000 0.000 0.430


<3>
First-principles (PBE-GGA) data for crystalline SrTc2Cl at its relaxed geometry, as listed in Alexandria via LeMat-Bulk.

Properties
mass density	5.63	g/cm³
D(E_F)	3.94	states/eV/f.u.

Cell lengths 4.761, 4.761, 8.965 Å; angles 74.60, 74.60, 90.00 degrees
Atoms (fractional coordinates):
Sr: 0.000 0.000 0.000
Sr: 0.750 0.250 0.500
Tc: 0.329 0.125 0.250
Tc: 0.421 0.625 0.250
Tc: 0.375 0.671 0.750
Tc: 0.875 0.579 0.750
Cl: 0.500 0.500 0.000
Cl: 0.250 0.750 0.500


<4>
First-principles (PBE-GGA) data for crystalline SrTc2Cl at its relaxed geometry, as listed in Alexandria via LeMat-Bulk.

Properties
mass density	6.97	g/cm³
D(E_F)	4.05	states/eV/f.u.

Cell lengths 4.756, 4.756, 4.756 Å; angles 60.00, 60.00, 60.00 degrees
Atoms (fractional coordinates):
Cl: 0.500 0.500 0.500
Sr: 0.250 0.250 0.250
Tc: 0.000 0.000 0.000
Tc: 0.750 0.750 0.750


Short version: <3>, <4>, <1>, <2>, most stable first.


<1>
First-principles (PBE-GGA) data for crystalline SrTc2Cl at its relaxed geometry, as listed in Alexandria via LeMat-Bulk.

Properties
mass density	6.01	g/cm³
D(E_F)	4.61	states/eV/f.u.

Cell lengths 3.868, 3.868, 5.892 Å; angles 90.00, 90.00, 90.00 degrees
Atoms (fractional coordinates):
Cl: 0.500 0.500 0.250
Sr: 0.500 0.500 0.750
Tc: 0.000 0.000 0.070
Tc: 0.000 0.000 0.430


<2>
First-principles (PBE-GGA) data for crystalline SrTc2Cl at its relaxed geometry, as listed in Alexandria via LeMat-Bulk.

Properties
mass density	4.97	g/cm³
D(E_F)	3.56	states/eV/f.u.

Cell lengths 4.053, 4.053, 8.078 Å; angles 71.50, 71.50, 59.57 degrees
Atoms (fractional coordinates):
Cl: 0.479 0.479 0.468
Sr: 0.244 0.244 0.239
Tc: 0.045 0.045 0.919
Tc: 0.732 0.732 0.874


<3>
First-principles (PBE-GGA) data for crystalline SrTc2Cl at its relaxed geometry, as listed in Alexandria via LeMat-Bulk.

Properties
mass density	5.17	g/cm³
D(E_F)	3.23	states/eV/f.u.

Cell lengths 3.445, 3.445, 8.640 Å; angles 90.00, 90.00, 90.00 degrees
Atoms (fractional coordinates):
Cl: 0.000 0.000 0.570
Sr: 0.500 0.500 0.752
Tc: 0.000 0.000 0.058
Tc: 0.500 0.500 0.119


<4>
First-principles (PBE-GGA) data for crystalline SrTc2Cl at its relaxed geometry, as listed in Alexandria via LeMat-Bulk.

Properties
mass density	6.41	g/cm³
D(E_F)	6.66	states/eV/f.u.

Cell lengths 4.889, 4.889, 4.889 Å; angles 60.00, 60.00, 60.00 degrees
Atoms (fractional coordinates):
Sr: 0.500 0.500 0.500
Tc: 0.250 0.250 0.250
Tc: 0.750 0.750 0.750
Cl: 0.000 0.000 0.000


Short version: <3>, <2>, <1>, <4>, most stable first.